4
Lattice="4.5615 -1.4310 0.0000 4.5615 1.4310 0.0000 -0.7269 0.0000 5.0191" Properties=species:S:1:pos:R:3 comment="MgCdOs2 | the Alexandria database | GGA-PBE | relaxed" e_tot_ev_per_atom=-5.855 spacegroup="Cm (8)" relative_energy_ev_per_atom=0.269 dos_ef_per_ev_cell=2.9 magmom_total_mub_per_cell=0.00 e_form_kcal_per_mol_atoms=8.9 volume_a3_per_atom=16.4 rho_g_cm3=13.11 pbc="T T T"
Mg 0.0000 0.0000 0.0000
Cd 6.7618 0.0000 1.1380
Os 1.7488 0.0000 3.5601
Os 4.2864 0.0000 2.6969

---

4
Lattice="4.9140 -1.4094 0.0000 4.9140 1.4094 0.0000 -0.6196 0.0000 5.1171" Properties=species:S:1:pos:R:3 comment="Mg2CdOs | the Alexandria database | GGA-PBE | relaxed" e_tot_ev_per_atom=-3.634 spacegroup="Cm (8)" dos_ef_per_ev_cell=1.3 magmom_total_mub_per_cell=0.00 e_form_kcal_per_mol_atoms=4.6 volume_a3_per_atom=17.7 rho_g_cm3=8.23 pbc="T T T"
Mg 0.0000 0.0000 0.0000
Mg 1.8662 0.0000 3.6278
Cd 7.2651 0.0000 1.1949
Os 4.5419 0.0000 2.6101

---

4
Lattice="1.4104 0.8143 9.3329 -1.4104 0.8143 9.3329 0.0000 -1.6285 9.3329" Properties=species:S:1:pos:R:3 comment="MgCdOs2 | the Alexandria database | GGA-PBE | relaxed" e_tot_ev_per_atom=-5.783 spacegroup="R-3m (166)" relative_energy_ev_per_atom=0.341 dos_ef_per_ev_cell=4.1 magmom_total_mub_per_cell=0.00 e_form_kcal_per_mol_atoms=10.6 volume_a3_per_atom=16.1 rho_g_cm3=13.35 pbc="T T T"
Mg 0.0000 0.0000 0.0000
Cd 0.0000 0.0000 13.9993
Os 0.0000 0.0000 7.0749
Os 0.0000 0.0000 20.9236

---

4
Lattice="2.8755 0.0000 0.0000 0.0000 3.6999 0.0000 0.0000 0.0000 6.3049" Properties=species:S:1:pos:R:3 comment="MgCdOs2 | the Alexandria database | GGA-PBE | relaxed" e_tot_ev_per_atom=-5.970 spacegroup="Pmm2 (25)" relative_energy_ev_per_atom=0.154 dos_ef_per_ev_cell=2.3 magmom_total_mub_per_cell=0.00 e_form_kcal_per_mol_atoms=6.3 volume_a3_per_atom=16.8 rho_g_cm3=12.80 pbc="T T T"
Mg 0.0000 0.0000 0.0000
Cd 1.4377 1.8499 4.5683
Os 0.0000 0.0000 2.7749
Os 1.4377 1.8499 1.6130